VASP calculation (PBE) on a geometry-optimized Li4SmSi4 structure.

Lattice parameters (Å, degrees): 5.9818 5.9818 8.5458 90.00 90.00 90.00
Element x y z (fractional)
Li 0.2465 0.5000 0.9045
Li 0.7535 0.5000 0.9045
Li 0.5000 0.7535 0.0955
Li 0.5000 0.2465 0.0955
Li 0.0000 0.7465 0.4045
Li 0.0000 0.2535 0.4045
Li 0.2535 0.0000 0.5955
Li 0.7465 0.0000 0.5955
Sm 0.0000 0.0000 0.0000
Sm 0.5000 0.5000 0.5000
Si 0.5000 0.8058 0.7964
Si 0.5000 0.1942 0.7964
Si 0.8058 0.5000 0.2036
Si 0.1942 0.5000 0.2036
Si 0.3058 0.0000 0.2964
Si 0.6942 0.0000 0.2964
Si 0.0000 0.3058 0.7036
Si 0.0000 0.6942 0.7036

- energy relative to the elements, uncorrected (meV per atom) = -221
- space group = No. 137

VASP calculation (PBE) on a geometry-optimized Nd2CdCu5Ni2 structure.

Lattice parameters (Å, degrees): 3.8717 9.3444 9.3444 90.00 90.00 90.00
Element x y z (fractional)
Nd 0.0000 0.6816 0.1816
Nd 0.0000 0.3184 0.8184
Nd 0.0000 0.1816 0.3184
Nd 0.0000 0.8184 0.6816
Cd 0.0000 0.0000 0.0000
Cd 0.0000 0.5000 0.5000
Cu 0.5000 0.2195 0.0612
Cu 0.5000 0.7805 0.9388
Cu 0.5000 0.0612 0.7805
Cu 0.5000 0.7195 0.4388
Cu 0.5000 0.9388 0.2195
Cu 0.5000 0.2805 0.5612
Cu 0.5000 0.5612 0.7195
Cu 0.5000 0.4388 0.2805
Cu 0.5000 0.5000 0.0000
Cu 0.5000 0.0000 0.5000
Ni 0.0000 0.1127 0.6127
Ni 0.0000 0.8873 0.3873
Ni 0.0000 0.6127 0.8873
Ni 0.0000 0.3873 0.1127

- calculated total energy (eV for the cell shown) = -87.6
- space group = No. 127

VASP calculation (PBE) on a geometry-optimized GaTc2Br2 structure.

Lattice parameters (Å, degrees): 4.2182 4.2182 6.6070 71.38 71.38 90.00
Element x y z (fractional)
Ga 0.0000 0.0000 0.0000
Tc 0.7500 0.2500 0.5000
Tc 0.2500 0.7500 0.5000
Br 0.3610 0.3610 0.2779
Br 0.6390 0.6390 0.7221

- energy above the most stable polymorph in this dataset (kcal/mol of atoms) = 0.00
- energy relative to the elements, uncorrected (meV per atom) = 715
- space group = No. 139

VASP calculation (PBE) on a geometry-optimized TaZnBr2 structure.

Lattice parameters (Å, degrees): 3.1852 3.1851 9.5847 90.00 90.00 90.00
Element x y z (fractional)
Br 0.0000 0.0000 0.0789
Br 0.0000 0.0000 0.4211
Ta 0.5000 0.5000 0.2500
Zn 0.5000 0.5000 0.7500

- energy above the most stable polymorph in this dataset (kcal/mol of atoms) = 7.84
- energy relative to the elements, uncorrected (meV per atom) = 163
- space group = No. 123

VASP calculation (PBE) on a geometry-optimized CaIn2Ga structure.

Lattice parameters (Å, degrees): 4.4801 4.4801 11.4694 78.74 78.74 90.00
Element x y z (fractional)
Ca 0.5000 0.5000 0.0000
Ca 0.2500 0.7500 0.5000
Ga 0.0000 0.0000 0.0000
Ga 0.7500 0.2500 0.5000
In 0.6404 0.1250 0.2500
In 0.1096 0.6250 0.2500
In 0.3750 0.3596 0.7500
In 0.8750 0.8904 0.7500

- calculated total energy (eV for the cell shown) = -21.8
- space group = No. 122

VASP calculation (PBE) on a geometry-optimized Pa2SN2 structure.

Lattice parameters (Å, degrees): 3.8200 4.1466 6.9454 107.37 105.96 90.00
Element x y z (fractional)
Pa 0.6595 0.1595 0.3191
Pa 0.3405 0.8405 0.6809
S 0.0000 0.0000 0.0000
N 0.2679 0.2679 0.5357
N 0.7321 0.7321 0.4643

- energy relative to the elements, uncorrected (meV per atom) = -1690
- space group = No. 71

VASP calculation (PBE) on a geometry-optimized Pm3NdY2S6 structure.

Lattice parameters (Å, degrees): 6.9327 6.9327 6.9347 99.57 99.57 120.16
Element x y z (fractional)
Pm 0.1628 0.8372 0.5000
Pm 0.8372 0.1628 0.5000
Pm 0.5000 0.5000 0.5000
Nd 0.0000 0.0000 0.0000
Y 0.3337 0.6663 0.0000
Y 0.6663 0.3337 0.0000
S 0.9185 0.5767 0.7553
S 0.7387 0.7387 0.2414
S 0.0815 0.4233 0.2447
S 0.5767 0.9185 0.7553
S 0.2613 0.2613 0.7586
S 0.4233 0.0815 0.2447

- energy relative to the elements, uncorrected (meV per atom) = -2023
- space group = No. 12

VASP calculation (PBE) on a geometry-optimized CePm4Pb4 structure.

Lattice parameters (Å, degrees): 6.3890 10.0782 10.0782 90.00 90.00 90.00
Element x y z (fractional)
Ce 0.0000 0.0000 0.0000
Ce 0.5000 0.5000 0.5000
Pm 0.4996 0.2981 0.9010
Pm 0.9996 0.5990 0.7981
Pm 0.4996 0.7019 0.0990
Pm 0.0004 0.2019 0.5990
Pm 0.5004 0.9010 0.7019
Pm 0.0004 0.7981 0.4010
Pm 0.9996 0.4010 0.2019
Pm 0.5004 0.0990 0.2981
Pb 0.5004 0.7973 0.4009
Pb 0.5004 0.2027 0.5991
Pb 0.0004 0.9009 0.7027
Pb 0.9996 0.2973 0.9009
Pb 0.9996 0.7027 0.0991
Pb 0.4996 0.4009 0.2027
Pb 0.4996 0.5991 0.7973
Pb 0.0004 0.0991 0.2973

- calculated total energy (eV for the cell shown) = -84.5
- space group = No. 87

VASP calculation (PBE) on a geometry-optimized V2MoH3 structure.

Lattice parameters (Å, degrees): 3.9603 5.7246 4.9224 106.67 113.72 90.00
Element x y z (fractional)
V 0.6671 0.5834 0.3343
V 0.6671 0.0834 0.3343
V 0.3329 0.9166 0.6657
V 0.3329 0.4166 0.6657
Mo 0.0000 0.7500 0.0000
Mo 0.0000 0.2500 0.0000
H 0.5000 0.2500 0.0000
H 0.5000 0.7500 0.0000
H 0.1724 0.0863 0.3447
H 0.8277 0.4137 0.6553
H 0.1723 0.5863 0.3447
H 0.8276 0.9137 0.6553

- calculated total energy (eV for the cell shown) = -79.4
- space group = No. 12

VASP calculation (PBE) on a geometry-optimized NdPuTe2 structure.

Lattice parameters (Å, degrees): 3.9998 5.8472 11.1839 90.00 90.00 90.00
Element x y z (fractional)
Nd 0.5000 0.0000 0.1257
Nd 0.0000 0.5000 0.8743
Pu 0.5000 0.5000 0.3789
Pu 0.0000 0.0000 0.6211
Te 0.0000 0.5000 0.1559
Te 0.5000 0.0000 0.4073
Te 0.0000 0.5000 0.5927
Te 0.5000 0.0000 0.8441

- energy above the most stable polymorph in this dataset (kcal/mol of atoms) = 6.51
- energy relative to the elements, uncorrected (meV per atom) = -993
- space group = No. 59

VASP calculation (PBE) on a geometry-optimized VCuNiOs structure.

Lattice parameters (Å, degrees): 4.1599 4.1599 4.1599 60.00 60.00 60.00
Element x y z (fractional)
Ni 0.2500 0.2500 0.2500
Os 0.7500 0.7500 0.7500
Cu 0.0000 0.0000 0.0000
V 0.5000 0.5000 0.5000

- calculated total energy (eV for the cell shown) = -30.2
- space group = No. 216

VASP calculation (PBE) on a geometry-optimized Ce7AlGe2 structure.

Lattice parameters (Å, degrees): 5.3181 8.2913 8.2913 120.38 90.00 90.00
Element x y z (fractional)
Ce 0.0000 0.7679 0.2321
Ce 0.0000 0.2321 0.7679
Ce 0.5000 0.0509 0.2804
Ce 0.5000 0.9491 0.7196
Ce 0.5000 0.2804 0.0509
Ce 0.5000 0.7196 0.9491
Ce 0.5000 0.5000 0.5000
Al 0.0000 0.0000 0.0000
Ge 0.5000 0.6976 0.3024
Ge 0.5000 0.3024 0.6976

- calculated total energy (eV for the cell shown) = -54.0
- space group = No. 65

VASP calculation (PBE) on a geometry-optimized TbPm2Ge2 structure.

Lattice parameters (Å, degrees): 4.3670 7.7162 7.7162 90.00 90.00 90.00
Element x y z (fractional)
Tb 0.0000 0.0000 0.0000
Tb 0.0000 0.5000 0.5000
Pm 0.5000 0.1742 0.6742
Pm 0.5000 0.6742 0.8258
Pm 0.5000 0.8258 0.3258
Pm 0.5000 0.3258 0.1742
Ge 0.0000 0.3777 0.8777
Ge 0.0000 0.8777 0.6223
Ge 0.0000 0.6223 0.1223
Ge 0.0000 0.1223 0.3777

- energy above the most stable polymorph in this dataset (kcal/mol of atoms) = 0.00
- space group = No. 127

VASP calculation (PBE) on a geometry-optimized SrGa3W structure.

Lattice parameters (Å, degrees): 4.9622 4.9622 4.9622 90.00 90.00 90.00
Element x y z (fractional)
Sr 0.5000 0.5000 0.5000
Ga 0.0000 0.5000 0.0000
Ga 0.0000 0.0000 0.5000
Ga 0.5000 0.0000 0.0000
W 0.0000 0.0000 0.0000

- energy above the most stable polymorph in this dataset (kcal/mol of atoms) = 0.00
- space group = No. 221

VASP calculation (PBE) on a geometry-optimized W2N2Cl structure.

Lattice parameters (Å, degrees): 6.4902 6.4902 2.7285 90.00 90.00 90.00
Element x y z (fractional)
N 0.3753 0.8753 0.0000
N 0.8753 0.6247 0.0000
N 0.6247 0.1247 0.0000
N 0.1247 0.3753 0.0000
W 0.1467 0.6467 0.5000
W 0.6467 0.8533 0.5000
W 0.8533 0.3533 0.5000
W 0.3533 0.1467 0.5000
Cl 0.0000 0.0000 0.0000
Cl 0.5000 0.5000 0.0000

- energy above the most stable polymorph in this dataset (kcal/mol of atoms) = 12.67
- energy relative to the elements, uncorrected (meV per atom) = 785
- space group = No. 127